Entry from Alexandria via LeMat-Bulk: a relaxed K7BrCl5 crystal (PBE).

Properties
- Total magnetic moment: 0.0 μB per formula unit
- Symmetry: Cm, No. 8
- Total DFT energy (no corrections): -81.8 eV for the cell shown
- Crystal system: monoclinic
- ΔE_f (raw): -1.7182 eV/atom

Unit cell a=7.917 b=7.917 c=27.561 alpha=90.25 beta=90.25 gamma=33.27
Atoms (fractional coordinates):
K 0.000 0.000 0.000
K 0.000 0.000 0.431
K 0.089 0.089 0.716
K 0.183 0.183 0.216
K 0.272 0.272 0.931
K 0.273 0.273 0.500
K 0.464 0.464 0.290
K 0.465 0.465 0.141
K 0.545 0.545 0.862
K 0.547 0.547 0.569
K 0.725 0.725 0.362
K 0.726 0.726 0.069
K 0.807 0.807 0.791
K 0.808 0.808 0.641
Br 0.414 0.414 0.717
Br 0.857 0.857 0.214
Cl 0.094 0.094 0.329
Cl 0.096 0.096 0.102
Cl 0.176 0.176 0.829
Cl 0.178 0.178 0.602
Cl 0.364 0.364 0.037
Cl 0.364 0.364 0.394
Cl 0.636 0.636 0.466
Cl 0.636 0.636 0.966
Cl 0.908 0.908 0.894
Cl 0.909 0.909 0.538

Entry from Alexandria via LeMat-Bulk: a relaxed Ce3Os2C4 crystal (PBE).

Properties
- Total magnetic moment: 1.1 μB per formula unit
- E_form: 0.3377 eV per atom
- Symmetry: Immm, No. 71
- Total DFT energy (no corrections): -74.1 eV for the cell shown
- Crystal system: orthorhombic

Unit cell a=7.098 b=7.098 c=7.098 alpha=158.30 beta=95.26 gamma=88.81
Atoms (fractional coordinates):
Ce 0.000 0.000 0.000
Ce 0.322 0.822 0.500
Ce 0.678 0.178 0.500
Os 0.280 0.500 0.780
Os 0.720 0.500 0.220
C 0.045 0.287 0.759
C 0.472 0.713 0.759
C 0.528 0.287 0.241
C 0.955 0.713 0.241

Entry from Alexandria via LeMat-Bulk: a relaxed ZnGa2Au crystal (PBE).

Properties
- Total magnetic moment: 0.0 μB per formula unit
- E_form: -0.0098 eV per atom
- Symmetry: P4/mmm, No. 123
- Total DFT energy (no corrections): -10.6 eV for the cell shown
- Crystal system: tetragonal

Unit cell a=3.297 b=3.297 c=6.622 alpha=90.00 beta=90.00 gamma=90.00
Atoms (fractional coordinates):
Zn 0.000 0.000 0.000
Ga 0.500 0.500 0.247
Ga 0.500 0.500 0.753
Au 0.000 0.000 0.500

Entry from Alexandria via LeMat-Bulk: a relaxed Pr3NdNi2 crystal (PBE).

Properties
- Total magnetic moment: 0.0 μB per formula unit
- E_form: -0.1948 eV per atom
- Symmetry: C2/m, No. 12
- Total DFT energy (no corrections): -63.7 eV for the cell shown
- Crystal system: monoclinic

Unit cell a=8.613 b=8.613 c=11.978 alpha=123.22 beta=123.22 gamma=26.86
Atoms (fractional coordinates):
Pr 0.082 0.082 0.442
Pr 0.083 0.083 0.941
Pr 0.345 0.345 0.751
Pr 0.655 0.655 0.249
Pr 0.917 0.917 0.059
Pr 0.918 0.918 0.558
Nd 0.344 0.344 0.250
Nd 0.656 0.656 0.750
Ni 0.267 0.267 0.451
Ni 0.267 0.267 0.952
Ni 0.733 0.733 0.048
Ni 0.733 0.733 0.549

Entry from Alexandria via LeMat-Bulk: a relaxed AcReO4 crystal (PBE).

Properties
- Total magnetic moment: 0.0 μB per formula unit
- Symmetry: P2_1/c, No. 14
- Total DFT energy (no corrections): -99.1 eV for the cell shown
- Polymorph energy (0 for the lowest one): 183 meV per atom
- Crystal system: monoclinic
- ΔE_f (raw): -2.1961 eV/atom

Unit cell a=5.949 b=5.177 c=5.818 alpha=90.00 beta=104.24 gamma=90.00
Atoms (fractional coordinates):
Ac 0.000 0.000 0.000
Ac 0.000 0.500 0.500
Re 0.500 0.000 0.500
Re 0.500 0.500 0.000
O 0.176 0.110 0.407
O 0.176 0.390 0.907
O 0.419 0.741 0.723
O 0.419 0.759 0.223
O 0.581 0.241 0.777
O 0.581 0.259 0.277
O 0.824 0.610 0.093
O 0.824 0.890 0.593

Entry from Alexandria via LeMat-Bulk: a relaxed TbTm3Bi2C crystal (PBE).

Properties
- Total magnetic moment: 0.0 μB per formula unit
- E_form: -0.6069 eV per atom
- Symmetry: Immm, No. 71
- Total DFT energy (no corrections): -39.3 eV for the cell shown
- Crystal system: orthorhombic

Unit cell a=8.615 b=8.615 c=8.615 alpha=147.77 beta=147.08 gamma=46.73
Atoms (fractional coordinates):
Tb 0.000 0.000 0.000
Tm 0.349 0.849 0.500
Tm 0.500 0.500 0.000
Tm 0.651 0.151 0.500
Bi 0.146 0.646 0.500
Bi 0.854 0.354 0.500
C 0.500 0.000 0.500

Entry from Alexandria via LeMat-Bulk: a relaxed SrNi2Se crystal (PBE).

Properties
- Total magnetic moment: 0.0 μB per formula unit
- Symmetry: Pm, No. 6
- Total DFT energy (no corrections): -18.4 eV for the cell shown
- Crystal system: monoclinic
- ΔE_f (raw): -0.4293 eV/atom

Unit cell a=4.451 b=4.216 c=4.530 alpha=90.00 beta=94.24 gamma=90.00
Atoms (fractional coordinates):
Sr 0.000 0.000 0.000
Ni 0.196 0.500 0.544
Ni 0.489 0.000 0.508
Se 0.692 0.500 0.438

Entry from Alexandria via LeMat-Bulk: a relaxed CuBF crystal (PBE).

Properties
- Total magnetic moment: 0.0 μB per formula unit
- Symmetry: C2/m, No. 12
- Total DFT energy (no corrections): -29.3 eV for the cell shown
- Crystal system: monoclinic
- ΔE_f (raw): -0.6766 eV/atom

Unit cell a=4.261 b=4.261 c=7.146 alpha=93.49 beta=93.49 gamma=34.80
Atoms (fractional coordinates):
Cu 0.132 0.132 0.435
Cu 0.868 0.868 0.565
B 0.437 0.437 0.319
B 0.563 0.563 0.681
F 0.375 0.375 0.143
F 0.625 0.625 0.857

Entry from Alexandria via LeMat-Bulk: a relaxed Tb2Nd2Hg3 crystal (PBE).

Properties
- Total magnetic moment: 1.0 μB per formula unit
- E_form: -0.3224 eV per atom
- Symmetry: R-3m, No. 166
- Total DFT energy (no corrections): -22.0 eV for the cell shown
- Crystal system: trigonal

Unit cell a=9.122 b=9.122 c=9.122 alpha=33.52 beta=33.52 gamma=33.52
Atoms (fractional coordinates):
Tb 0.122 0.122 0.122
Tb 0.878 0.878 0.878
Nd 0.373 0.373 0.373
Nd 0.627 0.627 0.627
Hg 0.247 0.247 0.247
Hg 0.500 0.500 0.500
Hg 0.753 0.753 0.753

Entry from Alexandria via LeMat-Bulk: a relaxed Sr3LaTc crystal (PBE).

Properties
- Total magnetic moment: 0.5 μB per formula unit
- E_form: 1.9134 eV per atom
- Symmetry: Pm-3m, No. 221
- Total DFT energy (no corrections): -10.8 eV for the cell shown
- Polymorph energy (0 for the lowest one): 1245 meV per atom
- Crystal system: cubic

Unit cell a=5.889 b=5.889 c=5.889 alpha=90.00 beta=90.00 gamma=90.00
Atoms (fractional coordinates):
Sr 0.000 0.000 0.500
Sr 0.000 0.500 0.000
Sr 0.500 0.000 0.000
La 0.000 0.000 0.000
Tc 0.500 0.500 0.500

Entry from Alexandria via LeMat-Bulk: a relaxed GaPdN3 crystal (PBE).

Properties
- Total magnetic moment: 0.0 μB per formula unit
- Symmetry: Pm-3m, No. 221
- Total DFT energy (no corrections): -23.9 eV for the cell shown
- Crystal system: cubic
- ΔE_f (raw): 1.8494 eV/atom

Unit cell a=3.836 b=3.836 c=3.836 alpha=90.00 beta=90.00 gamma=90.00
Atoms (fractional coordinates):
Ga 0.000 0.000 0.000
Pd 0.500 0.500 0.500
N 0.000 0.000 0.500
N 0.000 0.500 0.000
N 0.500 0.000 0.000

Entry from Alexandria via LeMat-Bulk: a relaxed WCl crystal (PBE).

Properties
- Total magnetic moment: 0.0 μB per formula unit
- Symmetry: P4/nmm, No. 129
- Total DFT energy (no corrections): -29.2 eV for the cell shown
- Polymorph energy (0 for the lowest one): 352 meV per atom
- Crystal system: tetragonal
- ΔE_f (raw): 0.1081 eV/atom

Unit cell a=2.957 b=2.957 c=8.859 alpha=90.00 beta=90.00 gamma=90.00
Atoms (fractional coordinates):
W 0.250 0.250 0.104
W 0.750 0.750 0.896
Cl 0.250 0.250 0.707
Cl 0.750 0.750 0.293